! Ho8Er2Zr (PBE, optimized geometry); values from VASP
&SYSTEM
  ibrav = 0, nat = 11, ntyp = 3
/
ATOMIC_SPECIES
Ho 164.93 Ho.upf
Er 167.26 Er.upf
Zr 91.22 Zr.upf
ATOMIC_POSITIONS angstrom
Ho 6.505 6.396 6.828
Ho 3.786 7.859 7.938
Ho 6.942 9.806 7.441
Ho 3.350 6.351 4.819
Ho 6.258 4.945 3.752
Ho 6.505 8.298 4.321
Ho 4.034 11.212 8.507
Ho 3.786 9.761 5.431
Er 3.562 3.423 2.597
Er 6.729 12.734 9.662
Zr 0.000 0.000 0.000
CELL_PARAMETERS angstrom
6.203 1.608 1.220
2.044 9.222 2.953
2.044 5.327 8.087
! offset from the most stable computed form = 170.4 meV/atom
! energy of formation = 0.2129 eV/atom
! total magnetization = 0.00 μB/cell
! E = -4.723 eV per atom
! D(E_F) = 18.0 states/eV per cell